This record from Alexandria via LeMat-Bulk describes an optimized crystal structure of PmMg3Ir. The functional is PBE.

Geometry as POSCAR:
```
PmMg3Ir
1.0
-0.954 1.977 4.128
1.327 -3.906 2.178
4.506 3.865 -0.810
Pm Mg Ir
1 3 1
direct
0.500 0.038 0.075 Pm
0.000 0.524 0.047 Mg
0.000 0.262 0.523 Mg
0.500 0.753 0.505 Mg
0.500 0.385 0.770 Ir
```

Computed properties:
Density of states at the Fermi level ... 0.49 states/eV per atom
V ... 120.4 Å³ per cell
M_tot ... 0.00 μB/f.u.
Energy relative to the lowest polymorph listed for this composition ... 0.48 eV per formula unit
ΔH_f (0 K) ... -246 meV per atom